# CaLaP2S PBE relaxed
# Distance to the lowest polymorph of the same formula: 0 meV per atom
# Raw total energy: -4.69 eV per atom
# Magnetic moment: 0.0 μB per formula unit
data_CaLaP2S
_space_group_name_H-M_alt 'P 1'
_space_group_IT_number 1
_space_group_name_Hall 'P 1'
_cell_length_a 5.055
_cell_length_b 5.055
_cell_length_c 5.087
_cell_angle_alpha 90.00
_cell_angle_beta 90.00
_cell_angle_gamma 90.00
loop_
_atom_site_label
_atom_site_fract_x
_atom_site_fract_y
_atom_site_fract_z
Ca1 0.000 0.000 0.000
La1 0.500 0.500 0.500
P1 0.000 0.500 0.000
P2 0.500 0.000 0.000
S1 0.000 0.000 0.500